A relaxed La7Pr12Cd crystal, computed with PBE.

Output
Crystal system ... cubic
Calculated total energy ... -4.09 eV/atom
Excess energy over the best structure of this formula in the dataset ... 504 meV/atom
ΔH_f (0 K) ... 0.55 eV/atom

Cell lengths 10.036, 10.036, 10.036 Å; angles 109.47, 109.47, 109.47 degrees
Atoms (fractional coordinates):
La (0.000, 0.000, 0.500)
La (0.000, 0.500, 0.000)
La (0.000, 0.500, 0.500)
La (0.500, 0.000, 0.000)
La (0.500, 0.000, 0.500)
La (0.500, 0.500, 0.000)
La (0.500, 0.500, 0.500)
Pr (0.069, 0.804, 0.265)
Pr (0.196, 0.265, 0.461)
Pr (0.196, 0.735, 0.931)
Pr (0.265, 0.069, 0.804)
Pr (0.265, 0.461, 0.196)
Pr (0.461, 0.196, 0.265)
Pr (0.539, 0.804, 0.735)
Pr (0.735, 0.539, 0.804)
Pr (0.735, 0.931, 0.196)
Pr (0.804, 0.265, 0.069)
Pr (0.804, 0.735, 0.539)
Pr (0.931, 0.196, 0.735)
Cd (0.000, 0.000, 0.000)

A relaxed La6PrCd crystal, computed with PBE.

Output
Crystal system ... tetragonal
Calculated total energy ... -4.47 eV/atom
Excess energy over the best structure of this formula in the dataset ... 0 meV/atom
ΔH_f (0 K) ... -0.06 eV/atom

Cell lengths 5.159, 5.159, 10.382 Å; angles 90.00, 90.00, 90.00 degrees
Atoms (fractional coordinates):
La (0.000, 0.000, 0.000)
La (0.000, 0.000, 0.500)
La (0.000, 0.500, 0.245)
La (0.000, 0.500, 0.755)
La (0.500, 0.000, 0.245)
La (0.500, 0.000, 0.755)
Pr (0.500, 0.500, 0.500)
Cd (0.500, 0.500, 0.000)